Entry 1:
The following is a DFT calculation (GGA-PBEsol) of a relaxed BaTc2Cl crystal.

The calculation puts the density of states at the Fermi level at 2.89 states/eV/f.u. The relative energy among the computed polymorphs is 0.0 meV per atom. As for the formation energy from raw total energies: 0.066 eV per atom.

The structure belongs to space group P4mm (No. 99); the cell edges are 3.176, 3.176 and 8.171 Å and the angles 90.00°, 90.00° and 90.00°. Symmetry generates all atoms from Ba at (0.000, 0.000, 0.000), Tc at (0.000, 0.000, 0.545), Tc at (0.500, 0.500, 0.687) and Cl at (0.500, 0.500, 0.262).

Entry 2:
The following is a DFT calculation (GGA-PBEsol) of a relaxed BaTeCl2 crystal.

The calculation puts the density of states at the Fermi level at 1.30 states/eV/f.u. As for the formation energy from raw total energies: -1.377 eV per atom.

The structure belongs to space group I-4m2 (No. 119); the cell edges are 4.359, 4.359 and 11.768 Å and the angles 90.00°, 90.00° and 90.00°. Symmetry generates all atoms from Ba at (0.000, 0.000, 0.000), Te at (0.000, 0.500, 0.750), Cl at (0.000, 0.000, 0.500) and Cl at (0.000, 0.500, 0.250).

Entry 3:
The following is a DFT calculation (GGA-PBEsol) of a relaxed BaTe2Cl crystal.

The calculation puts the density of states at the Fermi level at 0.64 states/eV/f.u. The relative energy among the computed polymorphs is 4.0 meV per atom. As for the formation energy from raw total energies: -1.384 eV per atom.

The structure belongs to space group Pmm2 (No. 25); the cell edges are 4.387, 6.236 and 4.388 Å and the angles 90.00°, 90.00° and 90.00°. Symmetry generates all atoms from Ba at (0.000, 0.000, 0.000), Te at (0.000, 0.500, 0.498), Te at (0.500, 0.500, 0.998) and Cl at (0.500, 0.000, 0.500).

Entry 4:
The following is a DFT calculation (GGA-PBEsol) of a relaxed BaTe2Cl crystal.

The calculation puts the density of states at the Fermi level at 0.74 states/eV/f.u. The relative energy among the computed polymorphs is 0.0 meV per atom. As for the formation energy from raw total energies: -1.388 eV per atom.

The structure belongs to space group I4/mmm (No. 139); the cell edges are 4.392, 4.392 and 12.404 Å and the angles 90.00°, 90.00° and 90.00°. Symmetry generates all atoms from Ba at (0.000, 0.000, 0.000), Te at (0.000, 0.500, 0.250) and Cl at (0.000, 0.000, 0.500).